[1]
# Li2PrNd2Tl2 | the Alexandria database | PBE | relaxed
# **Space group**: R-3m
# **Calculated formation energy**: -1.4 eV per formula unit
data_Li2PrNd2Tl2
_space_group_name_H-M_alt 'P 1'
_space_group_IT_number 1
_space_group_name_Hall 'P 1'
_cell_length_a 9.555
_cell_length_b 9.555
_cell_length_c 9.555
_cell_angle_alpha 30.07
_cell_angle_beta 30.07
_cell_angle_gamma 30.07
loop_
_atom_site_label
_atom_site_type_symbol
_atom_site_fract_x
_atom_site_fract_y
_atom_site_fract_z
Li1 Li 0.103 0.103 0.103
Li2 Li 0.897 0.897 0.897
Pr1 Pr 0.500 0.500 0.500
Nd1 Nd 0.373 0.373 0.373
Nd2 Nd 0.627 0.627 0.627
Tl1 Tl 0.237 0.237 0.237
Tl2 Tl 0.763 0.763 0.763

[2]
# HgPbSeBr2 | the Alexandria database | PBE | relaxed
# **Space group**: P4/mmm
# **Relative energy among the computed polymorphs**: 100 meV/atom
data_HgPbSeBr2
_space_group_name_H-M_alt 'P 1'
_space_group_IT_number 1
_space_group_name_Hall 'P 1'
_cell_length_a 5.658
_cell_length_b 5.658
_cell_length_c 5.727
_cell_angle_alpha 90.00
_cell_angle_beta 90.00
_cell_angle_gamma 90.00
loop_
_atom_site_label
_atom_site_type_symbol
_atom_site_fract_x
_atom_site_fract_y
_atom_site_fract_z
Hg1 Hg 0.000 0.000 0.000
Pb1 Pb 0.500 0.500 0.000
Se1 Se 0.500 0.500 0.500
Br1 Br 0.000 0.500 0.500
Br2 Br 0.500 0.000 0.500

[3]
# SiHg2C | the Alexandria database | PBE | relaxed
# **Space group**: I-42d
# **Relative energy among the computed polymorphs**: 0 meV/atom
data_SiHg2C
_space_group_name_H-M_alt 'P 1'
_space_group_IT_number 1
_space_group_name_Hall 'P 1'
_cell_length_a 6.381
_cell_length_b 6.381
_cell_length_c 6.381
_cell_angle_alpha 124.28
_cell_angle_beta 124.28
_cell_angle_gamma 82.73
loop_
_atom_site_label
_atom_site_type_symbol
_atom_site_fract_x
_atom_site_fract_y
_atom_site_fract_z
Si1 Si 0.000 0.000 0.000
Si2 Si 0.750 0.250 0.500
Hg1 Hg 0.189 0.625 0.064
Hg2 Hg 0.375 0.439 0.564
Hg3 Hg 0.561 0.125 0.936
Hg4 Hg 0.875 0.811 0.436
C1 C 0.250 0.750 0.500
C2 C 0.500 0.500 0.000

[4]
# YTlSe2 | the Alexandria database | PBE | relaxed
# **Space group**: R3m
data_YTlSe2
_space_group_name_H-M_alt 'P 1'
_space_group_IT_number 1
_space_group_name_Hall 'P 1'
_cell_length_a 8.780
_cell_length_b 8.780
_cell_length_c 8.780
_cell_angle_alpha 27.84
_cell_angle_beta 27.84
_cell_angle_gamma 27.84
loop_
_atom_site_label
_atom_site_type_symbol
_atom_site_fract_x
_atom_site_fract_y
_atom_site_fract_z
Y1 Y 0.000 0.000 0.000
Tl1 Tl 0.244 0.244 0.244
Se1 Se 0.524 0.524 0.524
Se2 Se 0.718 0.718 0.718

[5]
# BaTePb2O2 | the Alexandria database | PBE | relaxed
# **Space group**: P2_1/m
data_BaTePb2O2
_space_group_name_H-M_alt 'P 1'
_space_group_IT_number 1
_space_group_name_Hall 'P 1'
_cell_length_a 7.476
_cell_length_b 6.224
_cell_length_c 7.593
_cell_angle_alpha 90.00
_cell_angle_beta 105.40
_cell_angle_gamma 90.00
loop_
_atom_site_label
_atom_site_type_symbol
_atom_site_fract_x
_atom_site_fract_y
_atom_site_fract_z
Ba1 Ba 0.167 0.250 0.440
Ba2 Ba 0.833 0.750 0.560
Te1 Te 0.341 0.750 0.236
Te2 Te 0.659 0.250 0.764
Pb1 Pb 0.091 0.250 0.908
Pb2 Pb 0.353 0.750 0.818
Pb3 Pb 0.647 0.250 0.182
Pb4 Pb 0.909 0.750 0.092
O1 O 0.129 0.503 0.713
O2 O 0.129 0.997 0.713
O3 O 0.871 0.003 0.287
O4 O 0.871 0.497 0.287

[6]
# LiEu2Cu | the Alexandria database | PBE | relaxed
# **Space group**: P4/mmm
# **Calculated formation energy**: -0.1 eV per formula unit
data_LiEu2Cu
_space_group_name_H-M_alt 'P 1'
_space_group_IT_number 1
_space_group_name_Hall 'P 1'
_cell_length_a 3.716
_cell_length_b 3.716
_cell_length_c 8.075
_cell_angle_alpha 90.00
_cell_angle_beta 90.00
_cell_angle_gamma 90.00
loop_
_atom_site_label
_atom_site_type_symbol
_atom_site_fract_x
_atom_site_fract_y
_atom_site_fract_z
Li1 Li 0.000 0.000 0.000
Eu1 Eu 0.500 0.500 0.284
Eu2 Eu 0.500 0.500 0.716
Cu1 Cu 0.000 0.000 0.500

Number 1: magnetic moment 0.0 μB/f.u., energy -3.4749 eV/atom. Number 2: magnetic moment 0.0 μB/f.u., energy -2.1551 eV/atom. Number 3: magnetic moment 0.0 μB/f.u., energy -2.3959 eV/atom. Number 4: magnetic moment 0.0 μB/f.u., energy -4.8133 eV/atom. Number 5: magnetic moment 0.0 μB/f.u., energy -5.1475 eV/atom. Number 6: magnetic moment 14.7 μB/f.u., energy -6.6583 eV/atom.